First-principles (PBE-GGA) data for a relaxed YPuCu2O8 crystal, as listed in Alexandria via LeMat-Bulk.

Cell and atoms, written as POSCAR:
```
YPuCu2O8
1.0
5.860 0.388 0.000
-2.252 5.424 0.000
-1.804 -2.906 4.774
Y Pu Cu O
1 1 2 8
Direct
0.000 0.000 0.000
0.250 0.750 0.500
0.750 0.250 0.500
0.500 0.500 0.000
0.373 0.045 0.328
0.299 0.504 0.205
0.299 0.094 0.795
0.717 0.045 0.672
0.906 0.701 0.205
0.955 0.283 0.328
0.955 0.627 0.672
0.496 0.701 0.795
```

## Properties
* volume: 13.00 Å³ per atom
* formation energy without anion corrections: -1.529 eV/atom